In2CuNi | PBE | optimized geometry

Results
- formation enthalpy at 0 K (eV/atom) = 0.01
- density (g/cm³) = 8.29
- SG = Imm2
- energy (eV per atom) = -3.82

Lattice parameters (Å, degrees): 2.9745 4.3364 10.9346 90.00 90.00 90.00
With the nearest neighbours (Å) after each atom.
Atoms (fractional coordinates):
In 0.0000 0.0000 0.0000  2 Ni 2.73, 4 Cu 2.85, 2 In 2.97
In 0.0000 0.5000 0.2220  4 Ni 2.63, 2 Cu 2.91
In 0.5000 0.0000 0.7220  4 Ni 2.63, 2 Cu 2.91
In 0.5000 0.5000 0.5000  2 Ni 2.73, 4 Cu 2.85, 2 In 2.97
Cu 0.0000 0.0000 0.3996  2 Ni 2.55, 4 In 2.85
Cu 0.5000 0.5000 0.8996  2 Ni 2.55, 4 In 2.85
Ni 0.0000 0.5000 0.7098  2 Cu 2.55, 6 In 2.63-2.73
Ni 0.5000 0.0000 0.2098  2 Cu 2.55, 6 In 2.63-2.73

---

InCuNi | PBE | optimized geometry

Results
- formation enthalpy at 0 K (eV/atom) = 0.02
- density (g/cm³) = 8.70
- SG = P-62m
- energy (eV per atom) = -4.19

Lattice parameters (Å, degrees): 6.3994 6.3994 3.8287 90.00 90.00 120.00
With the nearest neighbours (Å) after each atom.
Atoms (fractional coordinates):
In 0.0000 0.4178 0.0000  5 Ni 2.67-2.71, 2 Cu 2.92
In 0.4178 0.0000 0.0000  5 Ni 2.67-2.71, 2 Cu 2.92
In 0.5822 0.5822 0.0000  5 Ni 2.67-2.71, 2 Cu 2.92
Cu 0.0000 0.7620 0.5000  4 Ni 2.45-2.49, 2 Cu 2.64
Cu 0.2380 0.2380 0.5000  4 Ni 2.45-2.49, 2 Cu 2.64
Cu 0.7620 0.0000 0.5000  4 Ni 2.45-2.49, 2 Cu 2.64
Ni 0.0000 0.0000 0.0000  6 Cu 2.45, 3 In 2.67
Ni 0.3333 0.6667 0.5000  3 Cu 2.49, 6 In 2.71
Ni 0.6667 0.3333 0.5000  3 Cu 2.49, 6 In 2.71

---

InCu2Ni2 | PBE | optimized geometry

Results
- formation enthalpy at 0 K (eV/atom) = 0.23
- density (g/cm³) = 8.35
- SG = I4/mmm
- energy (eV per atom) = -4.27

Lattice parameters (Å, degrees): 3.5618 3.5618 11.2682 90.00 90.00 90.00
With the nearest neighbours (Å) after each atom.
Atoms (fractional coordinates):
In 0.0000 0.0000 0.0000  8 Cu 2.79
In 0.5000 0.5000 0.5000  8 Cu 2.79
Cu 0.0000 0.0000 0.3941  1 Cu 2.39, 4 Ni 2.41
Cu 0.0000 0.0000 0.6059  1 Cu 2.39, 4 Ni 2.41
Cu 0.5000 0.5000 0.1059  1 Cu 2.39, 4 Ni 2.41
Cu 0.5000 0.5000 0.8941  1 Cu 2.39, 4 Ni 2.41
Ni 0.0000 0.5000 0.2500  4 Cu 2.41, 4 Ni 2.52
Ni 0.0000 0.5000 0.7500  4 Cu 2.41, 4 Ni 2.52
Ni 0.5000 0.0000 0.2500  4 Cu 2.41, 4 Ni 2.52
Ni 0.5000 0.0000 0.7500  4 Cu 2.41, 4 Ni 2.52

---

InCuNi | PBE | optimized geometry

Results
- formation enthalpy at 0 K (eV/atom) = 0.05
- density (g/cm³) = 8.89
- SG = P3m1
- energy (eV per atom) = -4.15

Lattice parameters (Å, degrees): 4.2301 4.2301 2.8584 90.00 90.00 120.00
With the nearest neighbours (Å) after each atom.
Atoms (fractional coordinates):
In 0.0000 0.0000 0.0000  6 Cu 2.75-2.92, 6 Ni 2.77-2.89, 2 In 2.86
Cu 0.3333 0.6667 0.5582  3 Ni 2.46, 3 In 2.75
Ni 0.6667 0.3333 0.4566  3 Cu 2.46

---

InCu2Ni2 | PBE | optimized geometry

Results
- formation enthalpy at 0 K (eV/atom) = 0.10
- density (g/cm³) = 8.76
- SG = P4/mbm
- energy (eV per atom) = -4.40

Lattice parameters (Å, degrees): 6.7972 6.7972 2.9483 90.00 90.00 90.00
With the nearest neighbours (Å) after each atom.
Atoms (fractional coordinates):
In 0.0000 0.0000 0.0000  4 Ni 2.67, 8 Cu 2.94, 2 In 2.95
In 0.5000 0.5000 0.0000  4 Ni 2.67, 8 Cu 2.94, 2 In 2.95
Cu 0.1642 0.3358 0.5000  6 Ni 2.48-2.49
Cu 0.3358 0.8358 0.5000  6 Ni 2.48-2.49
Cu 0.6642 0.1642 0.5000  6 Ni 2.48-2.49
Cu 0.8358 0.6642 0.5000  6 Ni 2.48-2.49
Ni 0.1280 0.6280 0.0000  1 Ni 2.46, 6 Cu 2.48-2.49, 2 In 2.67
Ni 0.3720 0.1280 0.0000  1 Ni 2.46, 6 Cu 2.48-2.49, 2 In 2.67
Ni 0.6280 0.8720 0.0000  1 Ni 2.46, 6 Cu 2.48-2.49, 2 In 2.67
Ni 0.8720 0.3720 0.0000  1 Ni 2.46, 6 Cu 2.48-2.49, 2 In 2.67

---

In2CuNi2 | PBE | optimized geometry

Results
- formation enthalpy at 0 K (eV/atom) = -0.03
- density (g/cm³) = 8.67
- SG = P4/mbm
- energy (eV per atom) = -4.26

Lattice parameters (Å, degrees): 6.4913 6.4913 3.7309 90.00 90.00 90.00
With the nearest neighbours (Å) after each atom.
Atoms (fractional coordinates):
In 0.1684 0.3316 0.0000  6 Ni 2.59-2.72
In 0.3316 0.8316 0.0000  6 Ni 2.59-2.72
In 0.6684 0.1684 0.0000  6 Ni 2.59-2.72
In 0.8316 0.6684 0.0000  6 Ni 2.59-2.72
Cu 0.0000 0.0000 0.5000  4 Ni 2.52
Cu 0.5000 0.5000 0.5000  4 Ni 2.52
Ni 0.1354 0.6354 0.5000  1 Ni 2.49, 2 Cu 2.52, 6 In 2.59-2.72
Ni 0.3646 0.1354 0.5000  1 Ni 2.49, 2 Cu 2.52, 6 In 2.59-2.72
Ni 0.6354 0.8646 0.5000  1 Ni 2.49, 2 Cu 2.52, 6 In 2.59-2.72
Ni 0.8646 0.3646 0.5000  1 Ni 2.49, 2 Cu 2.52, 6 In 2.59-2.72

---

InCu2Ni2 | PBE | optimized geometry

Results
- formation enthalpy at 0 K (eV/atom) = 0.09
- density (g/cm³) = 8.84
- SG = P4/mbm
- energy (eV per atom) = -4.41

Lattice parameters (Å, degrees): 6.8912 6.8912 2.8414 90.00 90.00 90.00
With the nearest neighbours (Å) after each atom.
Atoms (fractional coordinates):
In 0.0000 0.0000 0.0000  4 Cu 2.72, 2 In 2.84, 8 Ni 2.93
In 0.5000 0.5000 0.0000  4 Cu 2.72, 2 In 2.84, 8 Ni 2.93
Cu 0.1251 0.3749 0.0000  1 Cu 2.44, 6 Ni 2.45-2.50, 2 In 2.72
Cu 0.3749 0.8749 0.0000  1 Cu 2.44, 6 Ni 2.45-2.50, 2 In 2.72
Cu 0.6251 0.1251 0.0000  1 Cu 2.44, 6 Ni 2.45-2.50, 2 In 2.72
Cu 0.8749 0.6251 0.0000  1 Cu 2.44, 6 Ni 2.45-2.50, 2 In 2.72
Ni 0.1696 0.6696 0.5000  6 Cu 2.45-2.50
Ni 0.3304 0.1696 0.5000  6 Cu 2.45-2.50
Ni 0.6696 0.8304 0.5000  6 Cu 2.45-2.50
Ni 0.8304 0.3304 0.5000  6 Cu 2.45-2.50

---

In2CuNi | PBE | optimized geometry

Results
- formation enthalpy at 0 K (eV/atom) = 0.08
- density (g/cm³) = 8.41
- SG = P4mm
- energy (eV per atom) = -3.76

Lattice parameters (Å, degrees): 3.3211 3.3211 6.3020 90.00 90.00 90.00
With the nearest neighbours (Å) after each atom.
Atoms (fractional coordinates):
In 0.0000 0.0000 0.0000  1 Ni 2.69, 4 Cu 2.77
In 0.5000 0.5000 0.3527  1 Cu 2.62, 4 Ni 2.73
Cu 0.5000 0.5000 0.7682  5 In 2.62-2.77, 4 Ni 2.65
Ni 0.0000 0.0000 0.5730  4 Cu 2.65, 5 In 2.69-2.73

---

InCu2Ni | PBE | optimized geometry

Results
- formation enthalpy at 0 K (eV/atom) = 0.01
- density (g/cm³) = 8.99
- SG = Immm
- energy (eV per atom) = -4.17

Lattice parameters (Å, degrees): 3.7235 3.8385 7.7684 90.00 90.00 90.00
With the nearest neighbours (Å) after each atom.
Atoms (fractional coordinates):
In 0.0000 0.0000 0.0000  4 Ni 2.67, 8 Cu 2.70-2.72
In 0.5000 0.5000 0.5000  4 Ni 2.67, 8 Cu 2.70-2.72
Cu 0.0000 0.5000 0.2479  4 Cu 2.67, 4 Ni 2.68-2.74, 4 In 2.70-2.72
Cu 0.0000 0.5000 0.7521  4 Cu 2.67, 4 Ni 2.68-2.74, 4 In 2.70-2.72
Cu 0.5000 0.0000 0.2521  4 Cu 2.67, 4 Ni 2.68-2.74, 4 In 2.70-2.72
Cu 0.5000 0.0000 0.7479  4 Cu 2.67, 4 Ni 2.68-2.74, 4 In 2.70-2.72
Ni 0.0000 0.0000 0.5000  4 In 2.67, 8 Cu 2.68-2.74
Ni 0.5000 0.5000 0.0000  4 In 2.67, 8 Cu 2.68-2.74

---

InCuNi2 | PBE | optimized geometry

Results
- formation enthalpy at 0 K (eV/atom) = -0.02
- density (g/cm³) = 9.13
- SG = I-4m2
- energy (eV per atom) = -4.62

Lattice parameters (Å, degrees): 3.7905 3.7905 7.4855 90.00 90.00 90.00
With the nearest neighbours (Å) after each atom.
Atoms (fractional coordinates):
In 0.0000 0.0000 0.0000  8 Ni 2.66-2.68, 4 Cu 2.66
In 0.5000 0.5000 0.5000  8 Ni 2.66-2.68, 4 Cu 2.66
Cu 0.0000 0.5000 0.2500  4 In 2.66, 8 Ni 2.66-2.68
Cu 0.5000 0.0000 0.7500  4 In 2.66, 8 Ni 2.66-2.68
Ni 0.0000 0.0000 0.5000  4 Ni 2.66, 4 Cu 2.66, 4 In 2.68
Ni 0.0000 0.5000 0.7500  4 In 2.66, 4 Ni 2.66, 4 Cu 2.68
Ni 0.5000 0.0000 0.2500  4 In 2.66, 4 Ni 2.66, 4 Cu 2.68
Ni 0.5000 0.5000 0.0000  4 Ni 2.66, 4 Cu 2.66, 4 In 2.68

---

InCu2Ni | PBE | optimized geometry

Results
- formation enthalpy at 0 K (eV/atom) = 0.10
- density (g/cm³) = 8.78
- SG = P2/m
- energy (eV per atom) = -4.08

Lattice parameters (Å, degrees): 2.7757 4.3787 4.7042 90.00 96.07 90.00
With the nearest neighbours (Å) after each atom.
Atoms (fractional coordinates):
In 0.0000 0.0000 0.0000  4 Ni 2.60-2.85, 4 Cu 2.70, 2 In 2.78
Cu 0.2823 0.5000 0.7262  5 Cu 2.51-2.78, 2 Ni 2.53, 2 In 2.70
Cu 0.7177 0.5000 0.2738  5 Cu 2.51-2.78, 2 Ni 2.53, 2 In 2.70
Ni 0.5000 0.0000 0.5000  4 Cu 2.53, 2 In 2.60, 2 Ni 2.78

---

InCuNi3 | PBE | optimized geometry

Results
- formation enthalpy at 0 K (eV/atom) = 0.73
- density (g/cm³) = 7.31
- SG = Pm-3m
- energy (eV per atom) = -4.11

Lattice parameters (Å, degrees): 4.3180 4.3180 4.3180 90.00 90.00 90.00
With the nearest neighbours (Å) after each atom.
Atoms (fractional coordinates):
In 0.0000 0.0000 0.0000  12 Ni 3.05
Cu 0.5000 0.5000 0.5000  6 Ni 2.16
Ni 0.0000 0.5000 0.5000  2 Cu 2.16
Ni 0.5000 0.0000 0.5000  2 Cu 2.16
Ni 0.5000 0.5000 0.0000  2 Cu 2.16

---

InCuNi | PBE | optimized geometry

Results
- formation enthalpy at 0 K (eV/atom) = 0.25
- density (g/cm³) = 8.45
- SG = P3m1
- energy (eV per atom) = -3.96

Lattice parameters (Å, degrees): 2.9843 2.9843 6.0368 90.00 90.00 120.00
With the nearest neighbours (Å) after each atom.
Atoms (fractional coordinates):
In 0.0000 0.0000 0.0000  3 Ni 2.67, 3 Cu 2.80, 6 In 2.98
Cu 0.3333 0.6667 0.6342  3 Ni 2.48
Ni 0.6667 0.3333 0.3377  3 Cu 2.48, 3 In 2.67

---

InCuNi2 | PBE | optimized geometry

Results
- formation enthalpy at 0 K (eV/atom) = 0.30
- density (g/cm³) = 8.67
- SG = R3m
- energy (eV per atom) = -4.29

Lattice parameters (Å, degrees): 2.8168 2.8168 24.7247 90.00 90.00 120.00
With the nearest neighbours (Å) after each atom.
Atoms (fractional coordinates):
In 0.0000 0.0000 0.0000  3 Ni 2.68, 6 In 2.82, 3 Cu 2.83
In 0.3333 0.6667 0.6667  3 Ni 2.68, 6 In 2.82, 3 Cu 2.83
In 0.6667 0.3333 0.3333  3 Ni 2.68, 6 In 2.82, 3 Cu 2.83
Cu 0.0000 0.0000 0.7603  3 Ni 2.51
Cu 0.3333 0.6667 0.4270  3 Ni 2.51
Cu 0.6667 0.3333 0.0936  3 Ni 2.51
Ni 0.0000 0.0000 0.2470  3 Ni 2.48, 3 In 2.68
Ni 0.0000 0.0000 0.5044  3 Ni 2.48, 3 Cu 2.51
Ni 0.3333 0.6667 0.1711  3 Ni 2.48, 3 Cu 2.51
Ni 0.3333 0.6667 0.9137  3 Ni 2.48, 3 In 2.68
Ni 0.6667 0.3333 0.5804  3 Ni 2.48, 3 In 2.68
Ni 0.6667 0.3333 0.8378  3 Ni 2.48, 3 Cu 2.51

---

InCuNi2 | PBE | optimized geometry

Results
- formation enthalpy at 0 K (eV/atom) = 0.01
- density (g/cm³) = 9.09
- SG = F-43m
- energy (eV per atom) = -4.59

Lattice parameters (Å, degrees): 6.0005 6.0005 6.0005 90.00 90.00 90.00
With the nearest neighbours (Å) after each atom.
Atoms (fractional coordinates):
In 0.0000 0.0000 0.0000  4 Ni 2.60, 4 Cu 2.60
In 0.0000 0.5000 0.5000  4 Ni 2.60, 4 Cu 2.60
In 0.5000 0.0000 0.5000  4 Ni 2.60, 4 Cu 2.60
In 0.5000 0.5000 0.0000  4 Ni 2.60, 4 Cu 2.60
Cu 0.2500 0.2500 0.7500  4 In 2.60, 4 Ni 2.60
Cu 0.2500 0.7500 0.2500  4 In 2.60, 4 Ni 2.60
Cu 0.7500 0.2500 0.2500  4 In 2.60, 4 Ni 2.60
Cu 0.7500 0.7500 0.7500  4 In 2.60, 4 Ni 2.60
Ni 0.0000 0.0000 0.5000  4 Ni 2.60, 4 Cu 2.60
Ni 0.0000 0.5000 0.0000  4 Ni 2.60, 4 Cu 2.60
Ni 0.2500 0.2500 0.2500  4 In 2.60, 4 Ni 2.60
Ni 0.2500 0.7500 0.7500  4 In 2.60, 4 Ni 2.60
Ni 0.5000 0.0000 0.0000  4 Ni 2.60, 4 Cu 2.60
Ni 0.5000 0.5000 0.5000  4 Cu 2.60, 4 Ni 2.60
Ni 0.7500 0.2500 0.7500  4 In 2.60, 4 Ni 2.60
Ni 0.7500 0.7500 0.2500  4 In 2.60, 4 Ni 2.60

---

In2CuNi | PBE | optimized geometry

Results
- formation enthalpy at 0 K (eV/atom) = 0.09
- density (g/cm³) = 8.76
- SG = I-4m2
- energy (eV per atom) = -3.75

Lattice parameters (Å, degrees): 3.9115 3.9115 8.7195 90.00 90.00 90.00
With the nearest neighbours (Å) after each atom.
Atoms (fractional coordinates):
In 0.0000 0.0000 0.0000  4 Cu 2.77, 4 In 2.93, 4 Ni 2.93
In 0.0000 0.5000 0.2500  4 Ni 2.77, 4 In 2.93, 4 Cu 2.93
In 0.5000 0.0000 0.7500  4 Ni 2.77, 4 In 2.93, 4 Cu 2.93
In 0.5000 0.5000 0.5000  4 Cu 2.77, 4 In 2.93, 4 Ni 2.93
Cu 0.0000 0.0000 0.5000  8 In 2.77-2.93, 4 Ni 2.93
Cu 0.5000 0.5000 0.0000  8 In 2.77-2.93, 4 Ni 2.93
Ni 0.0000 0.5000 0.7500  8 In 2.77-2.93, 4 Cu 2.93
Ni 0.5000 0.0000 0.2500  8 In 2.77-2.93, 4 Cu 2.93

---

InCuNi | PBE | optimized geometry

Results
- formation enthalpy at 0 K (eV/atom) = 0.12
- density (g/cm³) = 7.74
- SG = F-43m
- energy (eV per atom) = -4.08

Lattice parameters (Å, degrees): 5.8824 5.8824 5.8824 90.00 90.00 90.00
With the nearest neighbours (Å) after each atom.
Atoms (fractional coordinates):
In 0.0000 0.0000 0.0000  4 Ni 2.55
In 0.0000 0.5000 0.5000  4 Ni 2.55
In 0.5000 0.0000 0.5000  4 Ni 2.55
In 0.5000 0.5000 0.0000  4 Ni 2.55
Cu 0.0000 0.0000 0.5000  4 Ni 2.55
Cu 0.0000 0.5000 0.0000  4 Ni 2.55
Cu 0.5000 0.0000 0.0000  4 Ni 2.55
Cu 0.5000 0.5000 0.5000  4 Ni 2.55
Ni 0.2500 0.2500 0.7500  4 In 2.55, 4 Cu 2.55
Ni 0.2500 0.7500 0.2500  4 In 2.55, 4 Cu 2.55
Ni 0.7500 0.2500 0.2500  4 In 2.55, 4 Cu 2.55
Ni 0.7500 0.7500 0.7500  4 In 2.55, 4 Cu 2.55

---

InCuNi2 | PBE | optimized geometry

Results
- formation enthalpy at 0 K (eV/atom) = 0.31
- density (g/cm³) = 8.20
- SG = I-42d
- energy (eV per atom) = -4.29

Lattice parameters (Å, degrees): 3.6985 3.6985 17.5214 90.00 90.00 90.00
With the nearest neighbours (Å) after each atom.
Atoms (fractional coordinates):
In 0.0000 0.0000 0.0000  4 Ni 2.60, 4 Cu 2.62
In 0.0000 0.5000 0.2500  4 Ni 2.60, 4 Cu 2.62
In 0.5000 0.0000 0.7500  4 Ni 2.60, 4 Cu 2.62
In 0.5000 0.5000 0.5000  4 Ni 2.60, 4 Cu 2.62
Cu 0.0000 0.0000 0.5000  4 Ni 2.50, 4 In 2.62
Cu 0.0000 0.5000 0.7500  4 Ni 2.50, 4 In 2.62
Cu 0.5000 0.0000 0.2500  4 Ni 2.50, 4 In 2.62
Cu 0.5000 0.5000 0.0000  4 Ni 2.50, 4 In 2.62
Ni 0.2121 0.2500 0.6250  2 Ni 2.43, 2 Cu 2.50, 2 In 2.60
Ni 0.2500 0.7121 0.8750  2 Ni 2.43, 2 Cu 2.50, 2 In 2.60
Ni 0.2500 0.7879 0.3750  2 Ni 2.43, 2 Cu 2.50, 2 In 2.60
Ni 0.2879 0.2500 0.1250  2 Ni 2.43, 2 Cu 2.50, 2 In 2.60
Ni 0.7121 0.7500 0.1250  2 Ni 2.43, 2 Cu 2.50, 2 In 2.60
Ni 0.7500 0.2121 0.3750  2 Ni 2.43, 2 Cu 2.50, 2 In 2.60
Ni 0.7500 0.2879 0.8750  2 Ni 2.43, 2 Cu 2.50, 2 In 2.60
Ni 0.7879 0.7500 0.6250  2 Ni 2.43, 2 Cu 2.50, 2 In 2.60

---

In2CuNi | PBE | optimized geometry

Results
- formation enthalpy at 0 K (eV/atom) = 0.17
- density (g/cm³) = 8.25
- SG = R-3m
- energy (eV per atom) = -3.67

Lattice parameters (Å, degrees): 3.1936 3.1936 24.0613 90.00 90.00 120.00
With the nearest neighbours (Å) after each atom.
Atoms (fractional coordinates):
In 0.0000 0.0000 0.2478  3 Ni 2.69, 3 Cu 2.76
In 0.0000 0.0000 0.7522  3 Ni 2.69, 3 Cu 2.76
In 0.3333 0.6667 0.4189  3 Ni 2.69, 3 Cu 2.76
In 0.3333 0.6667 0.9145  3 Ni 2.69, 3 Cu 2.76
In 0.6667 0.3333 0.0855  3 Ni 2.69, 3 Cu 2.76
In 0.6667 0.3333 0.5811  3 Ni 2.69, 3 Cu 2.76
Cu 0.0000 0.0000 0.0000  6 In 2.76
Cu 0.3333 0.6667 0.6667  6 In 2.76
Cu 0.6667 0.3333 0.3333  6 In 2.76
Ni 0.0000 0.0000 0.5000  6 In 2.69
Ni 0.3333 0.6667 0.1667  6 In 2.69
Ni 0.6667 0.3333 0.8333  6 In 2.69

---

InCu2Ni | PBE | optimized geometry

Results
- formation enthalpy at 0 K (eV/atom) = 0.33
- density (g/cm³) = 8.45
- SG = R-3m
- energy (eV per atom) = -3.85

Lattice parameters (Å, degrees): 2.8656 2.8656 24.9101 90.00 90.00 120.00
With the nearest neighbours (Å) after each atom.
Atoms (fractional coordinates):
In 0.0000 0.0000 0.0000  6 Cu 2.82, 6 In 2.87
In 0.3333 0.6667 0.6667  6 Cu 2.82, 6 In 2.87
In 0.6667 0.3333 0.3333  6 Cu 2.82, 6 In 2.87
Cu 0.0000 0.0000 0.2417  3 Ni 2.50
Cu 0.0000 0.0000 0.7583  3 Ni 2.50
Cu 0.3333 0.6667 0.4250  3 Ni 2.50
Cu 0.3333 0.6667 0.9084  3 Ni 2.50
Cu 0.6667 0.3333 0.0916  3 Ni 2.50
Cu 0.6667 0.3333 0.5750  3 Ni 2.50
Ni 0.0000 0.0000 0.5000  6 Cu 2.50
Ni 0.3333 0.6667 0.1667  6 Cu 2.50
Ni 0.6667 0.3333 0.8333  6 Cu 2.50